Below is a relaxed structure of K4ZrSc3Te8, with properties calculated at the GGA-PBE level.

**Formation energy without anion corrections**: -1176 meV per atom

Cell: 9.605 9.605 9.605 Å, 52.87 52.87 52.87°
Positions (direct):
K1 0.000 0.000 0.000
K2 0.000 0.500 0.500
K3 0.500 0.000 0.500
K4 0.500 0.500 0.000
Zr1 0.500 0.500 0.500
Sc1 0.000 0.000 0.500
Sc2 0.000 0.500 0.000
Sc3 0.500 0.000 0.000
Te1 0.233 0.233 0.233
Te2 0.234 0.733 0.733
Te3 0.267 0.267 0.766
Te4 0.267 0.766 0.267
Te5 0.733 0.234 0.733
Te6 0.733 0.733 0.234
Te7 0.766 0.267 0.267
Te8 0.767 0.767 0.767

=====

Below is a relaxed structure of CaAlTe2, with properties calculated at the GGA-PBE level.

**Formation energy without anion corrections**: -792 meV per atom

Cell: 7.822 7.822 7.822 Å, 31.47 31.47 31.47°
Positions (direct):
Ca1 0.000 0.000 0.000
Al1 0.500 0.500 0.500
Te1 0.242 0.242 0.242
Te2 0.758 0.758 0.758

=====

Below is a relaxed structure of Bi4PPd15, with properties calculated at the GGA-PBE level.

**Formation energy**: -0.21 eV per atom

Cell: 19.006 19.006 19.006 Å, 13.93 13.93 13.93°
Positions (direct):
Bi1 0.102 0.102 0.102
Bi2 0.300 0.300 0.300
Bi3 0.700 0.700 0.700
Bi4 0.898 0.898 0.898
P1 0.500 0.500 0.500
Pd1 0.000 0.000 0.000
Pd2 0.051 0.051 0.051
Pd3 0.154 0.154 0.154
Pd4 0.201 0.201 0.201
Pd5 0.250 0.250 0.250
Pd6 0.351 0.351 0.351
Pd7 0.403 0.403 0.403
Pd8 0.459 0.459 0.459
Pd9 0.541 0.541 0.541
Pd10 0.597 0.597 0.597
Pd11 0.649 0.649 0.649
Pd12 0.750 0.750 0.750
Pd13 0.799 0.799 0.799
Pd14 0.846 0.846 0.846
Pd15 0.949 0.949 0.949

=====

Below is a relaxed structure of Cu2Te, with properties calculated at the GGA-PBE level.

**Formation energy without anion corrections**: 131 meV per atom

Cell: 6.354 6.354 6.259 Å, 90.00 90.00 120.00°
Positions (direct):
Cu1 0.000 0.240 0.337
Cu2 0.000 0.760 0.663
Cu3 0.240 0.000 0.337
Cu4 0.240 0.240 0.663
Cu5 0.760 0.000 0.663
Cu6 0.760 0.760 0.337
Te1 0.000 0.000 0.000
Te2 0.333 0.667 0.500
Te3 0.667 0.333 0.500

=====

What are the energy values for these records? In order: -0.1743 -0.1396 -0.1893 -0.1340 hartree per atom.